No. 1
NpCuPd PBE optimized geometry; space-group type = I4mm (107); formation energy from the elements = 0.0137 eV/atom; crystal system = tetragonal
1.0
-1.4110 -2.1087 -1.6269
2.4499 -1.7499 0.1433
-2.5118 -0.4644 5.5723
Np Cu Pd
1 1 1
Direct
0.3315 0.3315 0.6630 Np
0.6519 0.6519 0.3038 Cu
0.0166 0.0166 0.0332 Pd

No. 2
NpCu2Pd8 PBE optimized geometry; space-group type = C2/m (12); formation energy from the elements = -0.1134 eV/atom; crystal system = monoclinic
1.0
-1.3393 3.9201 2.6295
3.5138 -2.8629 5.7033
6.7457 0.2282 2.7411
Pd Cu Np
8 2 1
Direct
0.1034 0.4085 0.4085 Pd
0.5992 0.1563 0.6542 Pd
0.1195 0.7982 0.7982 Pd
0.8805 0.2018 0.2018 Pd
0.8966 0.5915 0.5915 Pd
0.4008 0.8437 0.3458 Pd
0.5992 0.6542 0.1563 Pd
0.4008 0.3458 0.8437 Pd
0.3846 0.2555 0.2555 Cu
0.6154 0.7445 0.7445 Cu
0.0000 0.0000 0.0000 Np

No. 3
NpCuPd PBE optimized geometry; space-group type = P-1 (2); formation energy from the elements = -0.0414 eV/atom; crystal system = triclinic
1.0
4.7921 0.4550 -0.0297
0.5975 4.7082 0.0087
-3.1975 -3.5708 4.7148
Pd Np Cu
2 2 2
Direct
0.2619 0.9405 0.2154 Pd
0.7381 0.0595 0.7846 Pd
0.0797 0.6551 0.4190 Np
0.9203 0.3449 0.5810 Np
0.6113 0.7160 0.9532 Cu
0.3887 0.2840 0.0468 Cu

No. 4
NpCuPd2 PBE optimized geometry; space-group type = R-3m (166); formation energy from the elements = -0.1330 eV/atom; crystal system = trigonal
1.0
-4.0708 0.8181 -1.3147
-1.0437 -0.3694 -4.2122
-2.7788 -4.1594 -1.1983
Pd Cu Np
2 1 1
Direct
0.7229 0.7229 0.8313 Pd
0.2771 0.2771 0.1687 Pd
0.0000 0.0000 0.0000 Cu
0.5000 0.5000 0.5000 Np

Among the records above, which one has the highest formation energy from the elements? number 1